No. 1
# RbZr2S4 | Alexandria via LeMat-Bulk | PBE | optimized geometry
data_RbZr2S4
_chemical_formula_sum 'Rb2 Zr4 S8'
_cell_length_a 17.4720
_cell_length_b 3.7142
_cell_length_c 6.3104
_cell_angle_alpha 90.00
_cell_angle_beta 109.73
_cell_angle_gamma 90.00
_space_group_name_H-M_alt 'C 1 2/m 1'
_space_group_IT_number 12
loop_
_space_group_symop_operation_xyz
'x,y,z'
'-x,-y,-z'
'-x,y,-z'
'x,-y,z'
'x+1/2,y+1/2,z'
'-x+1/2,-y+1/2,-z'
'-x+1/2,y+1/2,-z'
'x+1/2,-y+1/2,z'
loop_
_atom_site_label
_atom_site_fract_x
_atom_site_fract_y
_atom_site_fract_z
_atom_site_occupancy
Rb1 0.0000 0.0000 0.0000 1
Zr1 0.2474 0.5000 0.7443 1
S1 0.1571 0.0000 0.4962 1
S2 0.1593 0.5000 0.0031 1
# * offset from the most stable computed form: 0 meV/atom
# * energy: -91.17 eV/cell
# * crystal system: monoclinic
# * formation energy without anion corrections: -1.573 eV per atom

---

No. 2
# RbZrS2 | Alexandria via LeMat-Bulk | PBE | optimized geometry
data_RbZrS2
_chemical_formula_sum 'Rb4 Zr4 S8'
_cell_length_a 6.9838
_cell_length_b 6.9838
_cell_length_c 6.9838
_cell_angle_alpha 90.00
_cell_angle_beta 90.00
_cell_angle_gamma 90.00
_space_group_name_H-M_alt 'F m -3 m'
_space_group_IT_number 225
_space_group_name_Hall '-F 4 2 3'
loop_
_atom_site_label
_atom_site_fract_x
_atom_site_fract_y
_atom_site_fract_z
_atom_site_occupancy
Rb1 0.0000 0.0000 0.0000 1
Zr1 0.0000 0.0000 0.5000 1
S1 0.2500 0.2500 0.2500 1
# * energy: -81.02 eV/cell
# * crystal system: cubic
# * formation energy without anion corrections: -0.621 eV per atom

---

No. 3
# RbZrS2 | Alexandria via LeMat-Bulk | PBE | optimized geometry
data_RbZrS2
_chemical_formula_sum 'Rb2 Zr2 S4'
_cell_length_a 6.8004
_cell_length_b 3.6864
_cell_length_c 8.9922
_cell_angle_alpha 90.00
_cell_angle_beta 97.41
_cell_angle_gamma 90.00
_space_group_name_H-M_alt 'P 1 21/m 1'
_space_group_IT_number 11
loop_
_space_group_symop_operation_xyz
'x,y,z'
'-x,-y,-z'
'-x,y+1/2,-z'
'x,-y+1/2,z'
loop_
_atom_site_label
_atom_site_fract_x
_atom_site_fract_y
_atom_site_fract_z
_atom_site_occupancy
Rb1 0.2274 0.2500 0.3670 1
Zr1 0.3536 0.2500 0.8799 1
S1 0.2701 0.7500 0.0669 1
S2 0.2748 0.7500 0.6781 1
# * energy: -46.65 eV/cell
# * crystal system: monoclinic
# * formation energy without anion corrections: -1.389 eV per atom